! Tb6Pm2Pr5 PBE-GGA relaxed; values from VASP
&SYSTEM
  ibrav = 0, nat = 26, ntyp = 3
/
ATOMIC_SPECIES
Tb 158.93 Tb.upf
Pm 145.00 Pm.upf
Pr 140.91 Pr.upf
CELL_PARAMETERS angstrom
11.779 0.000 0.000
0.000 20.922 0.000
0.000 0.000 3.635
ATOMIC_POSITIONS crystal
Tb 0.066 0.141 0.000
Tb 0.071 0.431 0.000
Tb 0.187 0.874 0.500
Tb 0.313 0.374 0.500
Tb 0.429 0.931 0.000
Tb 0.434 0.641 0.000
Tb 0.566 0.359 0.000
Tb 0.571 0.069 0.000
Tb 0.687 0.626 0.500
Tb 0.813 0.126 0.500
Tb 0.929 0.569 0.000
Tb 0.934 0.859 0.000
Pm 0.189 0.727 0.000
Pm 0.311 0.227 0.000
Pm 0.689 0.773 0.000
Pm 0.811 0.273 0.000
Pr 0.000 0.000 0.500
Pr 0.070 0.286 0.500
Pr 0.197 0.565 0.500
Pr 0.303 0.065 0.500
Pr 0.430 0.786 0.500
Pr 0.500 0.500 0.500
Pr 0.570 0.214 0.500
Pr 0.697 0.935 0.500
Pr 0.803 0.435 0.500
Pr 0.930 0.714 0.500
! D(E_F): 33.7 states/eV/cell
! E_tot: -0.3392 Ry per atom
! Space group: Pbam
! Formation enthalpy at 0 K: 0.091 eV per atom